# 1
Material: Pr3Ga4Au4
Method: DFT, PBE
State: optimized geometry

Structure (POSCAR):
```
Pr3Ga4Au4
1.0
-2.095 2.211 13.530
2.095 -2.211 13.530
2.095 2.211 -13.530
Pr Ga Au
3 4 4
Cartesian
0.000 0.000 0.000
2.095 0.000 9.483
0.000 2.211 4.047
2.095 0.000 2.659
0.000 0.000 6.807
0.000 0.000 20.253
0.000 2.211 10.871
2.095 0.000 5.217
0.000 0.000 12.143
0.000 0.000 14.918
0.000 2.211 8.313
```

Summary:
M_tot in μB per formula unit: 0.0
Formation energy from the elements in eV/atom: -0.69
Symmetry: No. 71

---

# 2
Material: HgBiAu2
Method: DFT, PBE
State: optimized geometry

Structure (POSCAR):
```
HgBiAu2
1.0
2.131 1.231 6.304
-2.131 1.231 6.304
0.000 -2.461 6.304
Hg Bi Au
1 1 2
Cartesian
0.000 0.000 0.000
0.000 0.000 9.455
0.000 0.000 4.794
0.000 0.000 14.117
```

Summary:
M_tot in μB per formula unit: 0.0
Formation energy from the elements in eV/atom: 0.04
Symmetry: No. 166

---

# 3
Material: Tb5Tl4Ru
Method: DFT, PBE
State: optimized geometry

Structure (POSCAR):
```
Tb5Tl4Ru
1.0
3.496 0.000 0.000
0.000 3.496 0.000
0.000 0.000 21.305
Tb Tl Ru
5 4 1
Cartesian
0.000 0.000 0.000
0.000 0.000 4.410
0.000 0.000 8.988
0.000 0.000 12.317
0.000 0.000 16.895
1.748 1.748 2.206
1.748 1.748 6.623
1.748 1.748 14.681
1.748 1.748 19.099
1.748 1.748 10.652
```

Summary:
M_tot in μB per formula unit: 0.3
Formation energy from the elements in eV/atom: -0.36
Symmetry: No. 123

---

# 4
Material: Tc2RuRhN
Method: DFT, PBE
State: optimized geometry

Structure (POSCAR):
```
Tc2RuRhN
1.0
4.013 0.000 0.000
0.000 4.013 0.000
0.000 0.000 4.033
Tc Ru Rh N
2 1 1 1
Cartesian
0.000 2.007 0.000
2.007 0.000 0.000
0.000 0.000 2.017
2.007 2.007 2.017
0.000 0.000 0.000
```

Summary:
M_tot in μB per formula unit: 0.0
Formation energy (no corrections) in eV per atom: 0.09
Symmetry: No. 123

---

# 5
Material: KRb2HS
Method: DFT, PBE
State: optimized geometry

Structure (POSCAR):
```
KRb2HS
1.0
5.360 0.000 0.000
0.000 5.360 0.000
0.000 0.000 5.155
K Rb H S
1 2 1 1
Cartesian
0.000 0.000 0.000
0.000 2.680 2.577
2.680 0.000 2.577
0.000 0.000 2.577
2.680 2.680 0.000
```

Summary:
Electronic total energy in eV per formula unit: -13.43
M_tot in μB per formula unit: 0.0
Symmetry: No. 123

---

# 6
Material: YMg2Cu2
Method: DFT, PBE
State: optimized geometry

Structure (POSCAR):
```
YMg2Cu2
1.0
5.236 0.000 0.000
0.000 4.572 0.000
-2.444 0.000 8.405
Y Mg Cu
2 4 4
Cartesian
0.514 1.143 2.180
2.278 3.429 6.225
-0.457 1.143 5.342
1.840 3.429 0.095
0.952 1.143 8.310
3.249 3.429 3.062
-1.777 1.143 7.693
0.669 3.429 3.907
2.123 1.143 4.497
4.569 3.429 0.711
```

Summary:
M_tot in μB per formula unit: 0.0
Formation energy from the elements in eV/atom: -0.14
Symmetry: No. 11

---

# 7
Material: InOs3S
Method: DFT, PBE
State: optimized geometry

Structure (POSCAR):
```
InOs3S
1.0
4.389 0.000 0.000
0.000 4.389 0.000
0.000 0.000 4.389
In Os S
1 3 1
Cartesian
0.000 0.000 0.000
0.000 2.194 2.194
2.194 0.000 2.194
2.194 2.194 0.000
2.194 2.194 2.194
```

Summary:
M_tot in μB per formula unit: 0.0
Formation energy (no corrections) in eV per atom: 1.02
Symmetry: No. 221

---

# 8
Material: MnBe3In
Method: DFT, PBE
State: optimized geometry

Structure (POSCAR):
```
MnBe3In
1.0
4.456 0.000 0.000
0.000 4.456 0.000
0.000 0.000 4.456
Mn Be In
1 3 1
Cartesian
0.000 0.000 0.000
0.000 2.228 2.228
2.228 0.000 2.228
2.228 2.228 0.000
2.228 2.228 2.228
```

Summary:
M_tot in μB per formula unit: 4.1
Formation energy from the elements in eV/atom: 1.36
Symmetry: No. 221